20
Lattice="-0.680 -1.844 -5.932 -6.205 -1.957 1.320 -2.700 7.088 -2.184" Properties=species:S:1:pos:R:3 comment="GGA-PBE Ga6IrRh3, relaxed" total_magnetization_mub_per_atom=0.000 formation_enthalpy_0k_ev_per_atom=-0.3724 pbc="T T T"
Ga -3.920 5.173 -5.655
Ga -7.072 -1.446 -3.888
Ga -2.962 2.528 -4.846
Ga -6.623 0.759 -1.950
Ga -5.665 -1.886 -1.141
Ga -5.680 3.777 -2.525
Ga -3.436 2.171 -1.341
Ga -2.393 -0.448 -0.549
Ga -3.904 -0.490 -4.271
Ga -2.512 4.734 -2.908
Ga -7.191 3.735 -6.247
Ga -6.149 1.116 -5.455
Rh -7.619 2.642 -3.817
Rh -4.798 0.376 0.000
Rh -1.965 0.645 -2.979
Rh -4.786 2.911 -6.796
Rh -3.442 -1.900 -2.306
Rh -1.350 3.544 -1.092
Ir 0.000 0.000 0.000
Ir -4.792 1.644 -3.398